{"formula": "Lu2GeO5", "functional": "PBE", "state": "optimized geometry", "cell": [[2.5687, 5.7170, -0.0066], [-2.5687, 5.7170, -0.0066], [0.0000, 2.9874, 6.6757]], "species": ["Lu", "O", "O", "Ge", "O", "O", "O", "O", "Lu", "O", "O", "O", "O", "Lu", "Ge", "Lu"], "frac_coords": [[0.3711, 0.3445, 0.2657], [0.8335, 0.1665, 0.2500], [0.6782, 0.9873, 0.6357], [0.0000, 0.0000, 0.5000], [0.9873, 0.6782, 0.1357], [0.0127, 0.3218, 0.8643], [0.6118, 0.2361, 0.9647], [0.2361, 0.6118, 0.4647], [0.6289, 0.6555, 0.7343], [0.3218, 0.0127, 0.3643], [0.7639, 0.3882, 0.5353], [0.1665, 0.8335, 0.7500], [0.3882, 0.7639, 0.0353], [0.3445, 0.3711, 0.7657], [0.0000, 0.0000, 0.0000], [0.6555, 0.6289, 0.2343]], "formation_energy_uncorrected_ev_per_atom": -2.886, "magmom_total_mub_per_fu": 0.00, "space_group": "C2/c (15)", "de_polymorph_ev_per_atom": 0.090}


{"formula": "Pm5DySi4", "functional": "PBE", "state": "optimized geometry", "cell": [[-2.4373, 2.2772, -3.7688], [4.9879, -1.9210, -4.3865], [-7.5444, -5.8078, 4.7304]], "species": ["Pm", "Pm", "Dy", "Si", "Si", "Si", "Si", "Pm", "Pm", "Pm"], "frac_coords": [[0.1642, 0.8314, 0.3284], [0.8342, 0.6760, 0.6684], [0.5000, 0.0000, 0.0000], [0.0084, 0.2585, 0.0168], [0.3244, 0.8983, 0.6487], [0.6756, 0.1017, 0.3513], [0.9916, 0.7415, 0.9832], [0.1658, 0.3240, 0.3316], [0.5000, 0.5000, 0.0000], [0.8358, 0.1686, 0.6716]], "formation_energy_uncorrected_ev_per_atom": -0.503, "magmom_total_mub_per_fu": 0.00, "space_group": "C2/m (12)"}


{"formula": "KTi2Cd", "functional": "PBE", "state": "optimized geometry", "cell": [[-1.7380, -0.2234, -4.0068], [-2.7784, -3.0837, 1.3771], [-9.6503, 6.2418, 1.4513]], "species": ["Ti", "Ti", "Cd", "Ti", "Ti", "K", "Cd", "K"], "frac_coords": [[0.3750, 0.2427, 0.7500], [0.8750, 0.0073, 0.7500], [0.7500, 0.2500, 0.5000], [0.7573, 0.1250, 0.2500], [0.9927, 0.6250, 0.2500], [0.2500, 0.7500, 0.5000], [0.0000, 0.0000, 0.0000], [0.5000, 0.5000, 0.0000]], "ef_ev_per_fu": 3.8, "magmom_total_mub_per_fu": 0.00, "space_group": "I-42d (122)"}


{"formula": "Pr5ErCd6", "functional": "PBE", "state": "optimized geometry", "cell": [[5.1537, -0.0308, 1.7218], [0.0416, 7.7441, 0.0139], [-0.0031, -0.0154, 8.6216]], "species": ["Pr", "Cd", "Cd", "Cd", "Pr", "Pr", "Cd", "Pr", "Er", "Cd", "Cd", "Pr"], "frac_coords": [[0.6694, 0.5000, 0.6607], [0.8385, 0.7565, 0.3240], [0.5000, 0.2419, 0.0000], [0.5000, 0.7581, 0.0000], [0.0000, 0.5000, 0.0000], [0.3346, 0.0000, 0.3315], [0.8385, 0.2435, 0.3240], [0.3306, 0.5000, 0.3393], [0.0000, 0.0000, 0.0000], [0.1615, 0.7565, 0.6760], [0.1615, 0.2435, 0.6760], [0.6654, 0.0000, 0.6685]], "ef_ev_per_fu": -3.7, "magmom_total_mub_per_fu": 1.94, "space_group": "P2/m (10)"}


{"formula": "Tm2PdAu", "functional": "PBE", "state": "optimized geometry", "cell": [[-3.5795, 0.2458, 0.7353], [-1.0422, -2.3565, 4.8353], [-0.9635, 4.5388, 2.9137]], "species": ["Au", "Pd", "Tm", "Tm"], "frac_coords": [[0.0000, 0.1089, 0.8911], [0.0000, 0.7121, 0.2879], [0.2558, 0.1537, 0.3347], [0.7442, 0.6653, 0.8463]], "ef_ev_per_fu": -2.9, "magmom_total_mub_per_fu": 0.00, "space_group": "Imm2 (44)"}


{"formula": "NaY2Al", "functional": "PBE", "state": "optimized geometry", "cell": [[-3.4335, -0.8903, -0.0870], [-1.3167, -2.2294, 2.4259], [-4.0672, 7.8702, 7.6198]], "species": ["Al", "Y", "Na", "Y"], "frac_coords": [[0.5000, 0.5000, 0.5000], [0.8973, 0.8973, 0.3082], [0.0000, 0.0000, 0.0000], [0.1027, 0.1027, 0.6918]], "ef_ev_per_fu": 0.3, "magmom_total_mub_per_fu": 0.00, "space_group": "R-3m (166)"}